A plane-wave DFT calculation with GGA-PBE was carried out for a relaxed TlHgOs2 crystal.

Calculated values
E = -5.26 eV per atom
SG = C2/m, No. 12

Lattice parameters (Å, degrees): 9.8159 2.9269 5.6796 90.00 109.19 90.00
Fractional coordinates of all 8 atoms:
Tl 0.0000 0.0000 0.0000
Tl 0.5000 0.5000 0.0000
Hg 0.0000 0.5000 0.5000
Hg 0.5000 0.0000 0.5000
Os 0.2413 0.5000 0.3057
Os 0.2587 0.0000 0.6943
Os 0.7413 0.0000 0.3057
Os 0.7587 0.5000 0.6943